## Tb4Y5Tm3 (PBE)

Data for crystalline Tb4Y5Tm3 at its relaxed geometry.

E above lowest polymorph in eV/atom: 0.000
V in A^3/atom: 31.536
Energy relative to the elements in eV per atom: 0.02

abc: 6.1407 7.0989 8.6813
angles: 89.99 89.97 89.93
Atoms (fractional coordinates):
Tb 0.1663 0.0000 0.3351
Tb 0.3340 0.7501 0.6674
Tb 0.6660 0.2499 0.3326
Tb 0.8337 0.0000 0.6649
Y 0.0010 0.2506 0.0001
Y 0.1687 0.4999 0.3338
Y 0.5000 0.0000 0.0000
Y 0.8313 0.5001 0.6662
Y 0.9990 0.7494 0.9999
Tm 0.3333 0.2501 0.6675
Tm 0.5000 0.5000 0.0000
Tm 0.6667 0.7499 0.3325